No. 1
Density functional theory data (GGA-PBE) for a relaxed structure of Na2PrDyO4.

a = 3.5267 Å, b = 6.1162 Å, c = 5.9812 Å
α = 109.96°, β = 90.00°, γ = 90.00°
Last column: nearest neighbours and their distance in Å.
Element x y z (fractional)
O (0.5000, 0.2276, 0.2127)  2 Dy 2.34, 1 Pr 2.42, 1 Na 2.55
O (0.0000, 0.7505, 0.2156)  1 Dy 2.31, 2 Pr 2.40, 2 Na 2.56
O (0.0000, 0.2495, 0.7844)  1 Dy 2.31, 2 Pr 2.40, 2 Na 2.56
O (0.5000, 0.7724, 0.7873)  2 Dy 2.34, 1 Pr 2.42, 1 Na 2.55
Pr (0.5000, 0.5000, 0.0000)  6 O 2.40-2.42
Dy (0.0000, 0.0000, 0.0000)  6 O 2.31-2.34
Na (0.0000, 0.5000, 0.5000)  6 O 2.62-2.65
Na (0.5000, 0.0000, 0.5000)  6 O 2.55-2.56

Results
Formation energy from raw total energies   -2.671 eV/atom
Density   5.66 g/cm3
SG   P2/m

No. 2
Density functional theory data (GGA-PBE) for a relaxed structure of Na3PrDy2O6.

a = 6.0574 Å, b = 6.0574 Å, c = 5.9579 Å
α = 99.68°, β = 99.68°, γ = 120.05°
Last column: nearest neighbours and their distance in Å.
Element x y z (fractional)
O (0.2757, 0.2757, 0.7862)  2 Dy 2.31, 1 Pr 2.42, 1 Na 2.51
O (0.5834, 0.9296, 0.7877)  2 Dy 2.31, 1 Pr 2.41, 1 Na 2.49
O (0.7243, 0.7243, 0.2138)  2 Dy 2.31, 1 Pr 2.42, 1 Na 2.51
O (0.0704, 0.4166, 0.2123)  2 Dy 2.31, 1 Pr 2.41, 1 Na 2.49
O (0.9296, 0.5834, 0.7877)  2 Dy 2.31, 1 Pr 2.41, 1 Na 2.49
O (0.4166, 0.0704, 0.2123)  2 Dy 2.31, 1 Pr 2.41, 1 Na 2.49
Na (0.1727, 0.8273, 0.5000)  6 O 2.49-2.66
Na (0.8273, 0.1727, 0.5000)  6 O 2.49-2.66
Na (0.5000, 0.5000, 0.5000)  6 O 2.51-2.62
Dy (0.3335, 0.6665, 0.0000)  6 O 2.31
Dy (0.6665, 0.3335, 0.0000)  6 O 2.31
Pr (0.0000, 0.0000, 0.0000)  6 O 2.41-2.42

Results
Formation energy from raw total energies   -2.716 eV/atom
Density   5.88 g/cm3
SG   C2/m

No. 3
Density functional theory data (GGA-PBE) for a relaxed structure of Na4Dy3PtO8.

a = 6.6259 Å, b = 6.7431 Å, c = 6.7749 Å
α = 118.83°, β = 119.28°, γ = 90.00°
Last column: nearest neighbours and their distance in Å.
Element x y z (fractional)
Na (0.0000, 0.0000, 0.5000)  6 O 2.47-2.62
Na (0.0000, 0.0000, 0.0000)  6 O 2.45-2.66
Na (0.5000, 0.0000, 0.0000)  2 O 2.31
Na (0.5000, 0.0000, 0.5000)  6 O 2.47-2.62
O (0.7533, 0.7046, 0.9721)  1 Pt 2.14, 2 Dy 2.31-2.33
O (0.2467, 0.2954, 0.0279)  1 Pt 2.14, 2 Dy 2.31-2.33
O (0.7812, 0.2954, 0.0279)  1 Pt 2.14, 2 Dy 2.31-2.33
O (0.2188, 0.7046, 0.9721)  1 Pt 2.14, 2 Dy 2.31-2.33
O (0.7341, 0.2558, 0.4683)  2 Dy 2.27, 3 Na 2.31-2.47
O (0.2659, 0.7442, 0.5317)  2 Dy 2.27, 3 Na 2.31-2.47
O (0.2692, 0.2905, 0.5384)  3 Dy 2.27-2.28, 2 Na 2.48
O (0.7308, 0.7095, 0.4616)  3 Dy 2.27-2.28, 2 Na 2.48
Dy (0.5000, 0.5000, 0.5000)  6 O 2.27-2.33
Dy (0.0000, 0.5000, 0.5000)  6 O 2.27-2.33
Dy (0.5000, 0.5000, 0.0000)  6 O 2.28-2.31
Pt (0.0000, 0.5000, 0.0000)  4 O 2.14

Results
Formation energy from raw total energies   -2.271 eV/atom
Density   6.81 g/cm3
SG   C2/m

No. 4
Density functional theory data (GGA-PBE) for a relaxed structure of Na2Dy2PtO6.

a = 5.7634 Å, b = 5.7634 Å, c = 5.8897 Å
α = 97.16°, β = 97.16°, γ = 120.32°
Last column: nearest neighbours and their distance in Å.
Element x y z (fractional)
O (0.6426, 0.9593, 0.3066)  1 Pt 2.11, 2 Dy 2.27-2.29
O (0.3574, 0.0407, 0.6934)  1 Pt 2.11, 2 Dy 2.27-2.29
O (0.0407, 0.3574, 0.6934)  1 Pt 2.11, 2 Dy 2.27-2.29
O (0.7504, 0.7504, 0.7036)  1 Pt 2.09, 2 Dy 2.30
O (0.2496, 0.2496, 0.2964)  1 Pt 2.09, 2 Dy 2.30
O (0.9593, 0.6426, 0.3066)  1 Pt 2.11, 2 Dy 2.27-2.29
Dy (0.6628, 0.3372, 0.5000)  6 O 2.27-2.30
Dy (0.3372, 0.6628, 0.5000)  6 O 2.27-2.30
Na (0.8557, 0.1443, 0.0000)  4 O 2.37-2.43
Na (0.1443, 0.8557, 0.0000)  4 O 2.37-2.43
Pt (0.0000, 0.0000, 0.5000)  6 O 2.09-2.11

Results
Formation energy from raw total energies   -2.155 eV/atom
Density   6.72 g/cm3
SG   C2/m

No. 5
Density functional theory data (GGA-PBE) for a relaxed structure of Na3Dy3PtO8.

a = 6.7110 Å, b = 6.7105 Å, c = 6.7760 Å
α = 119.69°, β = 90.00°, γ = 120.00°
Last column: nearest neighbours and their distance in Å.
Element x y z (fractional)
Dy (0.0000, 0.5000, 0.5000)  6 O 2.26-2.31
Dy (0.5000, 0.0000, 0.5000)  6 O 2.26-2.31
Dy (0.5000, 0.5000, 0.5000)  6 O 2.26-2.31
Na (0.5000, 0.5000, 0.0000)  6 O 2.49-2.53
Na (0.0000, 0.5000, 0.0000)  6 O 2.49-2.53
Na (0.0000, 0.0000, 0.0000)  6 O 2.49-2.53
O (0.2639, 0.5278, 0.2918)  3 Dy 2.26, 3 Na 2.53
O (0.7604, 0.9815, 0.7026)  1 Pt 2.11, 2 Dy 2.31
O (0.2211, 0.9815, 0.7026)  1 Pt 2.11, 2 Dy 2.31
O (0.7789, 0.0185, 0.2974)  1 Pt 2.11, 2 Dy 2.31
O (0.7361, 0.4722, 0.7082)  3 Dy 2.26, 3 Na 2.53
O (0.2211, 0.4423, 0.7026)  1 Pt 2.11, 2 Dy 2.31
O (0.2396, 0.0185, 0.2974)  1 Pt 2.11, 2 Dy 2.31
O (0.7789, 0.5577, 0.2974)  1 Pt 2.11, 2 Dy 2.31
Pt (0.0000, 0.0000, 0.5000)  6 O 2.11

Results
Formation energy from raw total energies   -2.351 eV/atom
Density   6.74 g/cm3
SG   R-3m

No. 6
Density functional theory data (GGA-PBE) for a relaxed structure of NaDyPtO4.

a = 6.4890 Å, b = 6.5492 Å, c = 6.9203 Å
α = 121.89°, β = 90.00°, γ = 119.70°
Last column: nearest neighbours and their distance in Å.
Element x y z (fractional)
O (0.7537, 0.5075, 0.3129)  2 Pt 2.09, 1 Dy 2.33
O (0.2998, 0.0411, 0.2705)  1 Pt 2.08, 1 Na 2.18, 2 Dy 2.25
O (0.7413, 0.0411, 0.2705)  1 Pt 2.08, 1 Na 2.18, 2 Dy 2.25
O (0.7537, 0.5075, 0.6946)  2 Pt 2.09, 1 Dy 2.33
O (0.2463, 0.4925, 0.3054)  2 Pt 2.09, 1 Dy 2.33
O (0.2463, 0.4925, 0.6871)  2 Pt 2.09, 1 Dy 2.33
O (0.7002, 0.9589, 0.7295)  1 Pt 2.08, 1 Na 2.18, 2 Dy 2.25
O (0.2587, 0.9589, 0.7295)  1 Pt 2.08, 1 Na 2.18, 2 Dy 2.25
Pt (0.0000, 0.5000, 0.5000)  6 O 2.08-2.09
Pt (0.5000, 0.5000, 0.5000)  6 O 2.08-2.09
Dy (0.5000, 0.0000, 0.0000)  6 O 2.25-2.33
Dy (0.5000, 0.0000, 0.5000)  6 O 2.25-2.33
Na (0.1137, 0.2274, 0.8637)  2 O 2.18
Na (0.8863, 0.7726, 0.1363)  2 O 2.18

Results
Formation energy from raw total energies   -1.834 eV/atom
Density   7.28 g/cm3
SG   Imma

No. 7
Density functional theory data (GGA-PBE) for a relaxed structure of Na4Dy3PuO8.

a = 6.9066 Å, b = 6.8739 Å, c = 6.9064 Å
α = 120.16°, β = 120.00°, γ = 90.00°
Last column: nearest neighbours and their distance in Å.
Element x y z (fractional)
Na (0.5000, 0.0000, 0.5000)  6 O 2.57
Na (0.0000, 0.0000, 0.0000)  6 O 2.57
Na (0.0000, 0.0000, 0.5000)  6 O 2.57
Na (0.5000, 0.0000, 0.0000)  6 O 2.54
Dy (0.5000, 0.5000, 0.0000)  6 O 2.31-2.32
Dy (0.5000, 0.5000, 0.5000)  6 O 2.31-2.32
Dy (0.0000, 0.5000, 0.5000)  6 O 2.31-2.32
O (0.7327, 0.7127, 0.9727)  2 Dy 2.31, 1 Pu 2.35, 3 Na 2.54-2.57
O (0.7599, 0.2873, 0.0273)  2 Dy 2.31, 1 Pu 2.35, 3 Na 2.54-2.57
O (0.7370, 0.7108, 0.4739)  3 Dy 2.32, 3 Na 2.57
O (0.2401, 0.7127, 0.4801)  2 Dy 2.31, 1 Pu 2.35, 3 Na 2.54-2.57
O (0.2401, 0.7127, 0.9727)  2 Dy 2.31, 1 Pu 2.35, 3 Na 2.54-2.57
O (0.7599, 0.2873, 0.5199)  2 Dy 2.31, 1 Pu 2.35, 3 Na 2.54-2.57
O (0.2630, 0.2892, 0.5261)  3 Dy 2.32, 3 Na 2.57
O (0.2673, 0.2873, 0.0273)  2 Dy 2.31, 1 Pu 2.35, 3 Na 2.54-2.57
Pu (0.0000, 0.5000, 0.0000)  6 O 2.35

Results
Formation energy from raw total energies   -2.680 eV/atom
Density   6.83 g/cm3
SG   R-3m

No. 8
Density functional theory data (GGA-PBE) for a relaxed structure of NaDyPuO6.

a = 4.8484 Å, b = 5.5583 Å, c = 5.5583 Å
α = 120.00°, β = 90.00°, γ = 90.00°
Last column: nearest neighbours and their distance in Å.
Element x y z (fractional)
O (0.7306, 0.0196, 0.3036)  1 Pu 1.98
O (0.2694, 0.0196, 0.7160)  1 Pu 1.98
O (0.7306, 0.6964, 0.7160)  1 Pu 1.98
O (0.2694, 0.6964, 0.9804)  1 Pu 1.98
O (0.7306, 0.2840, 0.9804)  1 Pu 1.98
O (0.2694, 0.2840, 0.3036)  1 Pu 1.98
Na (0.5000, 0.6667, 0.3333)  6 O 2.33
Dy (0.0000, 0.3333, 0.6667)  6 O 2.30
Pu (0.5000, 0.0000, 0.0000)  6 O 1.98

Results
Formation energy from raw total energies   -2.367 eV/atom
Density   6.73 g/cm3
SG   P312

No. 9
Density functional theory data (GGA-PBE) for a relaxed structure of NaDyPu2O8.

a = 5.3273 Å, b = 5.3273 Å, c = 6.4141 Å
α = 114.54°, β = 114.54°, γ = 90.00°
Last column: nearest neighbours and their distance in Å.
Element x y z (fractional)
O (0.3680, 0.3970, 0.2465)  2 Pu 2.21-2.22, 1 Dy 2.34, 1 Na 2.39, 1 O 2.41
O (0.3681, 0.8497, 0.2468)  2 Pu 2.21-2.22, 1 Dy 2.34, 1 Na 2.39, 1 O 2.41
O (0.6030, 0.1215, 0.7535)  2 Pu 2.21-2.22, 1 Dy 2.34, 1 Na 2.39, 1 O 2.41
O (0.1505, 0.6320, 0.7535)  2 Pu 2.21-2.22, 1 Dy 2.34, 1 Na 2.39, 1 O 2.41
O (0.8787, 0.3971, 0.2468)  2 Pu 2.21-2.22, 1 Dy 2.34, 1 Na 2.39, 1 O 2.41
O (0.8785, 0.8495, 0.2465)  2 Pu 2.21-2.22, 1 Dy 2.34, 1 Na 2.39, 1 O 2.41
O (0.6029, 0.6319, 0.7532)  2 Pu 2.21-2.22, 1 Dy 2.34, 1 Na 2.39, 1 O 2.41
O (0.1503, 0.1213, 0.7532)  2 Pu 2.21-2.22, 1 Dy 2.34, 1 Na 2.39, 1 O 2.41
Pu (0.2500, 0.7500, 0.5000)  8 O 2.21
Pu (0.5000, 0.5000, 0.0000)  8 O 2.22
Dy (0.0000, 0.0000, 0.0000)  8 O 2.34
Na (0.7500, 0.2500, 0.5000)  8 O 2.39

Results
Formation energy from raw total energies   -2.565 eV/atom
Density   9.03 g/cm3
SG   I-4m2

What did the seventh record say?
Density functional theory data (GGA-PBE) for a relaxed structure of Na4Dy3PuO8.

a = 6.9066 Å, b = 6.8739 Å, c = 6.9064 Å
α = 120.16°, β = 120.00°, γ = 90.00°
Last column: nearest neighbours and their distance in Å.
Element x y z (fractional)
Na (0.5000, 0.0000, 0.5000)  6 O 2.57
Na (0.0000, 0.0000, 0.0000)  6 O 2.57
Na (0.0000, 0.0000, 0.5000)  6 O 2.57
Na (0.5000, 0.0000, 0.0000)  6 O 2.54
Dy (0.5000, 0.5000, 0.0000)  6 O 2.31-2.32
Dy (0.5000, 0.5000, 0.5000)  6 O 2.31-2.32
Dy (0.0000, 0.5000, 0.5000)  6 O 2.31-2.32
O (0.7327, 0.7127, 0.9727)  2 Dy 2.31, 1 Pu 2.35, 3 Na 2.54-2.57
O (0.7599, 0.2873, 0.0273)  2 Dy 2.31, 1 Pu 2.35, 3 Na 2.54-2.57
O (0.7370, 0.7108, 0.4739)  3 Dy 2.32, 3 Na 2.57
O (0.2401, 0.7127, 0.4801)  2 Dy 2.31, 1 Pu 2.35, 3 Na 2.54-2.57
O (0.2401, 0.7127, 0.9727)  2 Dy 2.31, 1 Pu 2.35, 3 Na 2.54-2.57
O (0.7599, 0.2873, 0.5199)  2 Dy 2.31, 1 Pu 2.35, 3 Na 2.54-2.57
O (0.2630, 0.2892, 0.5261)  3 Dy 2.32, 3 Na 2.57
O (0.2673, 0.2873, 0.0273)  2 Dy 2.31, 1 Pu 2.35, 3 Na 2.54-2.57
Pu (0.0000, 0.5000, 0.0000)  6 O 2.35

Results
Formation energy from raw total energies   -2.680 eV/atom
Density   6.83 g/cm3
SG   R-3m

> What is the formula in the second record?

Na3PrDy2O6

Copy entry 2 word for word.
Density functional theory data (GGA-PBE) for a relaxed structure of Na3PrDy2O6.

a = 6.0574 Å, b = 6.0574 Å, c = 5.9579 Å
α = 99.68°, β = 99.68°, γ = 120.05°
Last column: nearest neighbours and their distance in Å.
Element x y z (fractional)
O (0.2757, 0.2757, 0.7862)  2 Dy 2.31, 1 Pr 2.42, 1 Na 2.51
O (0.5834, 0.9296, 0.7877)  2 Dy 2.31, 1 Pr 2.41, 1 Na 2.49
O (0.7243, 0.7243, 0.2138)  2 Dy 2.31, 1 Pr 2.42, 1 Na 2.51
O (0.0704, 0.4166, 0.2123)  2 Dy 2.31, 1 Pr 2.41, 1 Na 2.49
O (0.9296, 0.5834, 0.7877)  2 Dy 2.31, 1 Pr 2.41, 1 Na 2.49
O (0.4166, 0.0704, 0.2123)  2 Dy 2.31, 1 Pr 2.41, 1 Na 2.49
Na (0.1727, 0.8273, 0.5000)  6 O 2.49-2.66
Na (0.8273, 0.1727, 0.5000)  6 O 2.49-2.66
Na (0.5000, 0.5000, 0.5000)  6 O 2.51-2.62
Dy (0.3335, 0.6665, 0.0000)  6 O 2.31
Dy (0.6665, 0.3335, 0.0000)  6 O 2.31
Pr (0.0000, 0.0000, 0.0000)  6 O 2.41-2.42

Results
Formation energy from raw total energies   -2.716 eV/atom
Density   5.88 g/cm3
SG   C2/m

> Which of these has the lowest formation energy from raw total energies?

Na3PrDy2O6